! Er6CdC3 PBE-GGA relaxed; values from VASP
&SYSTEM
  ibrav = 0, nat = 20, ntyp = 3
/
ATOMIC_SPECIES
Er 167.26 Er.upf
Cd 112.41 Cd.upf
C 12.01 C.upf
CELL_PARAMETERS angstrom
10.9596 0.0000 0.0000
0.0000 3.5559 0.0000
-2.2450 0.0000 10.9600
ATOMIC_POSITIONS angstrom
Er 0.0330 0.8890 1.4553
Er 0.2127 2.6669 4.9383
Er 0.1725 0.8890 8.1274
Er 2.8948 2.6669 0.1849
Er 2.7155 0.8890 3.3484
Er 3.3322 0.8890 6.5377
Er 5.3824 2.6669 4.4224
Er 5.9990 2.6669 7.6116
Er 5.8197 0.8890 10.7751
Er 8.5421 2.6669 2.8326
Er 8.5018 0.8890 6.0217
Er 8.6816 2.6669 9.5047
Cd 3.2572 2.6669 9.3660
Cd 5.4573 0.8890 1.5940
C -1.1437 2.6669 7.0832
C -0.7580 0.8890 10.3341
C 2.8999 2.6669 4.9435
C 5.8147 0.8890 6.0165
C 9.4726 2.6669 0.6259
C 9.8583 0.8890 3.8768
! SG: P2_1/m, No. 11
! E_form: -251.1 meV per atom


! NdTmAgHg PBE-GGA relaxed; values from VASP
&SYSTEM
  ibrav = 0, nat = 16, ntyp = 4
/
ATOMIC_SPECIES
Nd 144.24 Nd.upf
Tm 168.93 Tm.upf
Ag 107.87 Ag.upf
Hg 200.59 Hg.upf
CELL_PARAMETERS angstrom
7.4355 0.0000 0.0000
0.0000 7.4355 0.0000
0.0000 0.0000 7.4355
ATOMIC_POSITIONS angstrom
Nd 0.0000 0.0000 0.0000
Nd 0.0000 3.7178 3.7178
Nd 3.7178 0.0000 3.7178
Nd 3.7178 3.7178 0.0000
Tm 0.0000 0.0000 3.7178
Tm 0.0000 3.7178 0.0000
Tm 3.7178 0.0000 0.0000
Tm 3.7178 3.7178 3.7178
Ag 1.8589 1.8589 5.5766
Ag 1.8589 5.5766 1.8589
Ag 5.5766 1.8589 1.8589
Ag 5.5766 5.5766 5.5766
Hg 1.8589 1.8589 1.8589
Hg 1.8589 5.5766 5.5766
Hg 5.5766 1.8589 5.5766
Hg 5.5766 5.5766 1.8589
! SG: F-43m, No. 216
! E_form: -376.9 meV per atom


! AsRu3O PBE-GGA relaxed; values from VASP
&SYSTEM
  ibrav = 0, nat = 5, ntyp = 3
/
ATOMIC_SPECIES
As 74.92 As.upf
Ru 101.07 Ru.upf
O 16.00 O.upf
CELL_PARAMETERS angstrom
4.0932 0.0000 0.0000
0.0000 4.0932 0.0000
0.0000 0.0000 4.0932
ATOMIC_POSITIONS angstrom
As 0.0000 0.0000 0.0000
Ru 0.0000 2.0466 2.0466
Ru 2.0466 0.0000 2.0466
Ru 2.0466 2.0466 0.0000
O 2.0466 2.0466 2.0466
! E_form (uncorrected): 1.932 eV/f.u.
! SG: Pm-3m, No. 221


! Tm2Mn3Os PBE-GGA relaxed; values from VASP
&SYSTEM
  ibrav = 0, nat = 6, ntyp = 3
/
ATOMIC_SPECIES
Tm 168.93 Tm.upf
Mn 54.94 Mn.upf
Os 190.23 Os.upf
CELL_PARAMETERS angstrom
2.6102 1.5070 4.1360
-2.6102 1.5070 4.1360
0.0000 -3.0140 4.1360
ATOMIC_POSITIONS angstrom
Tm 0.0000 0.0000 1.5639
Tm 0.0000 0.0000 10.8443
Mn -1.3051 -0.7535 4.1360
Mn -1.3051 0.7535 8.2721
Mn 0.0000 1.5070 4.1360
Os 0.0000 0.0000 6.2041
! SG: R-3m, No. 166
! E_form: -116.5 meV per atom


! CoSiNi PBE-GGA relaxed; values from VASP
&SYSTEM
  ibrav = 0, nat = 12, ntyp = 3
/
ATOMIC_SPECIES
Co 58.93 Co.upf
Si 28.09 Si.upf
Ni 58.69 Ni.upf
CELL_PARAMETERS angstrom
6.0926 0.0000 0.0000
0.0000 2.5838 0.0000
0.0000 0.0000 8.2488
ATOMIC_POSITIONS angstrom
Co 0.4799 0.6459 0.9402
Co 2.5664 1.9378 5.0646
Co 3.5262 0.6459 3.1842
Co 5.6127 1.9378 7.3086
Si 0.8001 0.6459 5.8712
Si 2.2462 1.9378 1.7468
Si 3.8464 0.6459 6.5020
Si 5.2925 1.9378 2.3776
Ni 0.9729 0.6459 3.4731
Ni 2.0734 1.9378 7.5975
Ni 4.0192 0.6459 0.6513
Ni 5.1197 1.9378 4.7757
! E_form (uncorrected): -1.239 eV/f.u.
! SG: Pnma, No. 62


! Rb2AcHg2Te4 PBE-GGA relaxed; values from VASP
&SYSTEM
  ibrav = 0, nat = 9, ntyp = 4
/
ATOMIC_SPECIES
Rb 85.47 Rb.upf
Ac 227.00 Ac.upf
Hg 200.59 Hg.upf
Te 127.60 Te.upf
CELL_PARAMETERS angstrom
8.6571 -2.5447 0.0000
8.6571 2.5447 0.0000
-2.8384 0.0000 8.2188
ATOMIC_POSITIONS angstrom
Rb 2.0800 0.0000 0.6327
Rb 12.3958 0.0000 7.5860
Ac -1.4192 0.0000 4.1094
Hg 4.3119 0.0000 4.0210
Hg 10.1639 0.0000 4.1978
Te 1.6006 0.0000 5.6401
Te 6.3659 0.0000 6.1642
Te 8.1099 0.0000 2.0545
Te 12.8752 0.0000 2.5787
! E_form (uncorrected): -7.700 eV/f.u.
! SG: C2/m, No. 12


! AcErGa3 PBE-GGA relaxed; values from VASP
&SYSTEM
  ibrav = 0, nat = 10, ntyp = 3
/
ATOMIC_SPECIES
Ac 227.00 Ac.upf
Er 167.26 Er.upf
Ga 69.72 Ga.upf
CELL_PARAMETERS angstrom
2.2548 -13.0156 0.0000
2.2548 13.0156 0.0000
0.0000 0.0000 4.2866
ATOMIC_POSITIONS angstrom
Ac 2.2548 11.0335 3.2150
Ac 2.2548 -11.0335 1.0717
Er 2.2548 7.7030 1.0717
Er 2.2548 -7.7030 3.2150
Ga 2.2548 4.7188 1.0717
Ga 2.2548 3.2468 3.2150
Ga 2.2548 0.6461 3.2150
Ga 2.2548 -0.6461 1.0717
Ga 2.2548 -3.2468 1.0717
Ga 2.2548 -4.7188 3.2150
! SG: Cmcm, No. 63
! E_form: -612.4 meV per atom


! BeAgN3 PBE-GGA relaxed; values from VASP
&SYSTEM
  ibrav = 0, nat = 5, ntyp = 3
/
ATOMIC_SPECIES
Be 9.01 Be.upf
Ag 107.87 Ag.upf
N 14.01 N.upf
CELL_PARAMETERS angstrom
3.5633 0.0000 0.0000
0.0000 3.5633 0.0000
0.0000 0.0000 3.5633
ATOMIC_POSITIONS angstrom
Be 0.0000 0.0000 0.0000
Ag 1.7817 1.7817 1.7817
N 0.0000 0.0000 1.7817
N 0.0000 1.7817 0.0000
N 1.7817 0.0000 0.0000
! E_form (uncorrected): 8.437 eV/f.u.
! SG: Pm-3m, No. 221